[1]
The following is a DFT calculation (PBE) of a relaxed structure of La2Dy2YMg5.

SG   P4/mbm (127)

Structure (extended XYZ):
```
20
Lattice="-4.553 -0.105 -2.319 2.006 -9.867 -3.491 -4.406 -4.021 8.831" Properties=species:S:1:pos:R:3 pbc="T T T"
La -1.320 -10.853 3.084
Mg -4.184 -5.325 2.824
Dy 0.094 -10.195 0.277
Mg -5.668 -3.972 5.676
Dy 0.227 -4.225 -0.253
La -2.982 -6.520 6.150
Y -1.200 -6.944 2.670
Mg -2.189 -2.291 -1.229
Mg -2.768 -8.668 0.196
Mg -1.285 -10.021 -2.655
Mg -1.273 -4.986 -2.905
La -1.079 -3.035 2.256
Mg -4.208 -8.488 3.014
Dy -2.626 -9.662 5.593
La 0.583 -7.368 -0.810
Mg -2.745 -5.505 0.006
Dy -2.494 -3.693 5.062
Mg -4.763 -11.702 4.250
Y 0.000 0.000 0.000
Mg -4.479 -2.063 3.256
```



[2]
The following is a DFT calculation (PBE) of a relaxed structure of La6Dy2YMg.

SG   C2/c (15)

Structure (extended XYZ):
```
20
Lattice="8.957 -2.061 -2.139 0.890 8.621 -0.999 0.890 -1.318 8.578" Properties=species:S:1:pos:R:3 pbc="T T T"
La 1.503 -0.485 6.149
Y 7.608 -2.155 6.290
La 2.862 3.030 7.365
Mg 3.129 2.199 4.158
La 9.234 5.727 -0.710
La 6.368 1.616 4.119
La 7.875 2.212 -1.926
La 7.340 6.217 2.231
Dy 1.266 1.821 1.228
Dy 4.993 5.113 4.644
Dy 5.744 0.129 0.796
La 4.755 0.109 6.766
La 4.369 3.626 1.321
La 3.397 -0.976 3.209
Y 3.129 7.396 -0.851
La 1.890 5.087 2.837
Mg 7.608 3.043 1.282
La 5.982 5.133 -1.326
La 8.847 0.155 2.603
Dy 9.472 3.421 4.211
```



[3]
The following is a DFT calculation (PBE) of a relaxed structure of LaDyMgZn.

SG   P4mm (99)

Structure (extended XYZ):
```
4
Lattice="-2.550 2.343 1.256 -2.130 -2.842 0.977 3.414 -0.108 7.130" Properties=species:S:1:pos:R:3 pbc="T T T"
Dy 1.124 -0.036 2.348
Zn -1.890 -0.264 2.056
Mg -0.334 -0.314 5.307
La 3.002 -0.095 6.270
```



[4]
The following is a DFT calculation (PBE) of a relaxed structure of LaDyMgZn.

SG   F-43m (216)

Structure (extended XYZ):
```
4
Lattice="5.325 0.000 0.000 2.663 4.612 0.000 2.663 1.537 4.348" Properties=species:S:1:pos:R:3 pbc="T T T"
La 2.663 1.537 1.087
Dy 7.988 4.612 3.261
Mg 5.325 3.074 2.174
Zn 0.000 0.000 0.000
```



[5]
The following is a DFT calculation (PBE) of a relaxed structure of LaDyMgZr.

SG   F-43m (216)

Structure (extended XYZ):
```
4
Lattice="-5.069 1.504 -1.265 -1.445 0.573 -5.210 -3.405 -3.570 -2.285" Properties=species:S:1:pos:R:3 pbc="T T T"
Zr -4.960 -0.746 -4.380
Dy -2.480 -0.373 -2.190
La -7.439 -1.120 -6.570
Mg 0.000 0.000 0.000
```



[6]
The following is a DFT calculation (PBE) of a relaxed structure of LaDy3Mn.

SG   Pm-3m (221)

Structure (extended XYZ):
```
5
Lattice="5.355 0.000 0.000 0.000 5.355 0.000 0.000 0.000 5.355" Properties=species:S:1:pos:R:3 pbc="T T T"
Dy 2.677 0.000 0.000
La 2.677 2.677 2.677
Dy 0.000 0.000 2.677
Dy 0.000 2.677 0.000
Mn 0.000 0.000 0.000
```



Calculated calculated total energy in order - -3.35 -4.59 -3.31 -3.27 -4.80 -5.37 eV/atom
Calculated density in order - 4.7 6.1 6.1 6.1 6.1 7.4 Mg/m³